# 1
The following is a DFT calculation (GGA-PBE) of Sb2IrPb after structural relaxation.

Structure (POSCAR):
```
Sb2IrPb
1.0
-4.507 2.975 0.035
-2.870 -1.832 -4.192
2.237 -2.795 4.044
Sb Ir Pb
2 1 1
Direct
0.250 0.750 0.500 Sb
0.000 0.000 0.000 Sb
0.500 0.500 0.000 Ir
0.750 0.250 0.500 Pb
```

Summary:
For the uncorrected formation energy, the calculation gives 44.0 kJ/mol of atoms. The calculation puts the electronic total energy at -0.1745 Ha/atom.



# 2
The following is a DFT calculation (GGA-PBE) of Th6Os3C2S after structural relaxation.

Structure (POSCAR):
```
Th6Os3C2S
1.0
-3.050 -1.188 -2.414
-0.439 -6.843 3.924
-3.855 6.856 4.922
C Th Os S
2 6 3 1
Direct
0.167 0.295 0.334 C
0.833 0.705 0.666 C
0.683 0.572 0.367 Th
0.671 0.059 0.342 Th
0.026 0.278 0.051 Th
0.974 0.722 0.949 Th
0.317 0.428 0.633 Th
0.329 0.941 0.658 Th
0.855 0.233 0.710 Os
0.500 0.500 0.000 Os
0.145 0.767 0.290 Os
0.500 0.000 0.000 S
```

Summary:
For the uncorrected formation energy, the calculation gives -37.8 kJ/mol of atoms. The calculation puts the electronic total energy at -0.3231 Ha/atom.



# 3
The following is a DFT calculation (GGA-PBE) of AgSn3I after structural relaxation.

Structure (POSCAR):
```
AgSn3I
1.0
-4.033 1.335 3.452
3.312 -0.979 4.248
1.654 5.218 -0.086
Ag Sn I
1 3 1
Direct
0.000 0.000 0.000 Ag
0.000 0.000 0.500 Sn
0.000 0.500 0.000 Sn
0.500 0.000 0.000 Sn
0.500 0.500 0.500 I
```

Summary:
For the uncorrected formation energy, the calculation gives 32.1 kJ/mol of atoms. The calculation puts the electronic total energy at -0.1084 Ha/atom.



# 4
The following is a DFT calculation (GGA-PBE) of HfHgS2 after structural relaxation.

Structure (POSCAR):
```
HfHgS2
1.0
-0.553 -6.246 0.536
9.545 2.657 -3.274
1.113 0.198 3.452
S Hg Hf
4 2 2
Direct
0.537 0.301 0.239 S
0.548 0.599 0.743 S
0.048 0.599 0.243 S
0.037 0.301 0.739 S
0.919 0.941 0.245 Hg
0.419 0.941 0.745 Hg
0.292 0.450 0.241 Hf
0.792 0.450 0.741 Hf
```

Summary:
For the uncorrected formation energy, the calculation gives -113.1 kJ/mol of atoms. The calculation puts the electronic total energy at -0.2131 Ha/atom.



# 5
The following is a DFT calculation (GGA-PBE) of BiTePt after structural relaxation.

Structure (POSCAR):
```
BiTePt
1.0
4.827 0.000 0.000
2.413 4.180 0.000
2.413 1.393 3.941
Te Pt Bi
1 1 1
Direct
0.500 0.500 0.500 Te
0.250 0.250 0.250 Pt
0.000 0.000 0.000 Bi
```

Summary:
For the uncorrected formation energy, the calculation gives -19.9 kJ/mol of atoms. The calculation puts the electronic total energy at -0.1676 Ha/atom.



# 6
The following is a DFT calculation (GGA-PBE) of CsBeAs after structural relaxation.

Structure (POSCAR):
```
CsBeAs
1.0
-0.154 7.322 -8.419
-0.933 -2.872 -2.481
-8.404 1.484 1.444
Cs Be As
4 4 4
Direct
0.307 0.250 0.945 Cs
0.807 0.250 0.555 Cs
0.193 0.750 0.445 Cs
0.693 0.750 0.055 Cs
0.995 0.250 0.933 Be
0.495 0.250 0.567 Be
0.005 0.750 0.067 Be
0.505 0.750 0.433 Be
0.509 0.750 0.694 As
0.491 0.250 0.306 As
0.991 0.250 0.194 As
0.009 0.750 0.806 As
```

Summary:
The calculation puts the electronic total energy at -0.1277 Ha/atom. The formation energy from the elements comes out at -398.2 meV per atom.